# Tb5Pm3Th

An optimized crystal structure of Tb5Pm3Th (GGA-PBE, the Alexandria database).

Results
Its crystal system is tetragonal. As for the space group: I4/mcm, No. 140. For the energy relative to the elements, the calculation gives 251 kJ/mol of formula units. The total magnetization is 0.000 μB per formula unit.

POSCAR file:
```
Tb5Pm3Th
1.0
-4.3930 4.3930 7.7354
4.3930 -4.3930 7.7354
4.3930 4.3930 -7.7354
Tb Pm Th
10 6 2
direct
0.0000 0.0000 0.0000 Tb
0.0736 0.5736 0.9216 Tb
0.1520 0.0736 0.5000 Tb
0.3480 0.8480 0.9216 Tb
0.4264 0.3480 0.5000 Tb
0.5000 0.5000 0.0000 Tb
0.5736 0.6520 0.5000 Tb
0.6520 0.1520 0.0784 Tb
0.8480 0.9264 0.5000 Tb
0.9264 0.4264 0.0784 Tb
0.1158 0.3842 0.5000 Pm
0.2500 0.2500 0.0000 Pm
0.3842 0.8842 0.2684 Pm
0.6158 0.1158 0.7316 Pm
0.7500 0.7500 0.0000 Pm
0.8842 0.6158 0.5000 Pm
0.2500 0.7500 0.5000 Th
0.7500 0.2500 0.5000 Th
```